# 1
The following is a DFT calculation (PBE) of a relaxed Si2WSe crystal.

Structure (extended XYZ):
```
4
Lattice="-0.892 4.943 5.561 -2.878 2.584 6.419 0.242 2.377 7.103" Properties=species:S:1:pos:R:3 pbc="T T T"
Se -2.646 7.428 14.312
Si -3.521 9.882 19.041
Si -1.772 4.973 9.583
W -0.882 2.476 4.771
```

Computed properties:
space-group type: R-3m (166)
calculated volume: 16.11 Å³ per atom
VASP energy: -6.54 eV/atom

=====

# 2
The following is a DFT calculation (PBE) of a relaxed Mg2Zr2Zn crystal.

Structure (extended XYZ):
```
5
Lattice="-2.923 -1.039 -0.678 0.846 -0.403 -3.034 3.978 -8.922 3.956" Properties=species:S:1:pos:R:3 pbc="T T T"
Mg 0.741 -6.555 -0.585
Mg 1.161 -3.809 0.830
Zr -0.510 -2.454 -1.478
Zr 2.412 -7.910 1.723
Zn 0.000 0.000 0.000
```

Computed properties:
space-group type: I4/mmm (139)
ΔE_f: -0.10 eV/atom
calculated volume: 20.76 Å³ per atom
VASP energy: -4.41 eV/atom
energy above the most stable polymorph in this dataset: 0.0 meV per atom